Compound: YZr3P
Source: the Alexandria database
Functional: PBE
Structure: relaxed

Results
The total DFT energy (no corrections) is -0.58005 Ry/atom. For the offset from the most stable computed form, the calculation gives 0 meV/atom. As for the formation energy: -0.39 eV/atom.

Cell lengths 5.001, 5.001, 5.001 Å; angles 90.00, 90.00, 90.00 degrees
Space group Pm-3m (No. 221)
Inequivalent atoms, fractional coordinates:
1 Y 0.000 0.000 0.000 x1
2 Zr 0.000 0.500 0.500 x3
3 P 0.500 0.500 0.500 x1



Compound: La5Bi4Sb
Source: the Alexandria database
Functional: PBE
Structure: relaxed

Results
The total DFT energy (no corrections) is -0.40642 Ry/atom.

Cell lengths 10.487, 10.487, 6.632 Å; angles 90.00, 90.00, 90.00 degrees
Space group I4/m (No. 87)
Inequivalent atoms, fractional coordinates:
1 La 0.000 0.000 0.000 x2
2 La 0.099 0.703 0.500 x8
3 Bi 0.099 0.700 0.000 x8
4 Sb 0.000 0.000 0.500 x2



Number 1: Fermi-level density of states 5.9 states/eV per cell. Number 2: Fermi-level density of states 1.4 states/eV per cell.